DFT (PBE) results for crystalline Hf4Ta2Pt at its relaxed geometry.

```
14
Lattice="5.1060 0.0000 0.0000 0.0000 5.1060 0.0000 0.0000 0.0000 13.3439" Properties=species:S:1:pos:R:3 pbc="T T T"
Hf 0.0000 0.0000 2.5936
Hf 0.0000 0.0000 10.7502
Hf 0.0000 2.5530 0.0000
Hf 0.0000 2.5530 6.6719
Hf 2.5530 0.0000 0.0000
Hf 2.5530 0.0000 6.6719
Hf 2.5530 2.5530 4.0783
Hf 2.5530 2.5530 9.2655
Ta 0.0000 0.0000 5.3337
Ta 0.0000 0.0000 8.0102
Ta 2.5530 2.5530 1.3383
Ta 2.5530 2.5530 12.0056
Pt 0.0000 0.0000 0.0000
Pt 2.5530 2.5530 6.6719
```

Properties
- D(E_F) (states/eV per atom) = 1.33
- E_form (meV per atom) = 768
- ρ (g/cm3) = 12.1
- space-group type = I4/mmm (139)